Below is a relaxed structure of Pr2Nd6Ho3Mg, with properties calculated at the GGA-PBE level.

Computed properties:
- total magnetization (μB per atom) = 0.000
- uncorrected energy (hartree per atom) = -0.1635
- formation enthalpy at 0 K (eV per atom) = 0.009
- symmetry = C2/m (12)

POSCAR file:
```
Pr2Nd6Ho3Mg
1.0
6.2642 -0.0026 -0.0093
-3.1328 5.4246 -0.0093
-1.0310 -1.7852 11.7506
Pr Nd Ho Mg
2 6 3 1
Cartesian
-0.0040 3.6176 -0.0093
3.1355 1.8044 -0.0093
3.1346 1.8451 8.7612
2.0961 3.6294 2.9702
-1.0342 1.7917 2.9708
0.0316 3.6371 8.7612
0.0043 0.0074 8.7618
2.0688 -0.0003 2.9708
-2.0897 3.6318 5.8660
4.1900 0.0050 5.8660
1.0502 1.8184 5.8660
0.0000 0.0000 0.0000
```

Below is a relaxed structure of Pr6Nd2HoMg, with properties calculated at the GGA-PBE level.

Computed properties:
- total magnetization (μB per atom) = 0.000
- uncorrected energy (hartree per atom) = -0.1598
- formation enthalpy at 0 K (eV per atom) = 0.090
- symmetry = C2/c (15)

POSCAR file:
```
Pr6Nd2HoMg
1.0
1.1391 -1.0246 -9.6982
-8.2337 -3.0997 -1.4115
1.2617 8.6849 -1.5412
Pr Nd Ho Mg
12 4 2 2
Cartesian
1.0100 6.7780 -2.3645
0.0305 7.5323 -5.5390
-6.8430 -2.2175 -10.2864
-5.8635 -2.9717 -7.1119
0.3955 3.8966 -3.9523
-2.6370 6.3405 -3.9064
-6.2285 0.6640 -8.6986
-3.1960 -1.7799 -8.7445
-5.5846 0.9578 -2.2462
-4.2545 -0.1499 -5.5087
-0.2484 3.6028 -10.4047
-1.5785 4.7105 -7.1422
-4.9593 3.1326 -6.4815
-2.2170 0.9800 -1.3097
-0.8737 1.4279 -6.1694
-3.6160 3.5806 -11.3412
-7.0382 -2.2255 -3.8485
1.2052 6.7861 -8.8024
-2.9288 2.8746 -3.9046
-2.9042 1.6860 -8.7463
```

Below is a relaxed structure of PrNdHoMg, with properties calculated at the GGA-PBE level.

Computed properties:
- total magnetization (μB per atom) = 0.000
- uncorrected energy (hartree per atom) = -0.1456
- formation enthalpy at 0 K (eV per atom) = -0.032
- symmetry = P4mm (99)

POSCAR file:
```
PrNdHoMg
1.0
-2.3929 2.7131 0.7519
-1.7692 -2.2167 2.3681
5.4760 2.9346 6.8381
Pr Nd Ho Mg
1 1 1 1
Cartesian
2.2981 2.5949 7.0284
0.4367 0.2340 0.5454
-0.1979 1.2574 3.9116
3.0740 1.6473 3.8386
```

Below is a relaxed structure of Pr4NdHo2Mg, with properties calculated at the GGA-PBE level.

Computed properties:
- total magnetization (μB per atom) = 0.000
- uncorrected energy (hartree per atom) = -0.1572
- formation enthalpy at 0 K (eV per atom) = 0.052
- symmetry = P2/m (10)

POSCAR file:
```
Pr4NdHo2Mg
1.0
-1.4890 -4.9179 2.8981
8.9120 -0.5299 3.6800
1.9599 2.3704 5.0296
Pr Nd Ho Mg
4 1 2 1
Cartesian
8.1127 1.3957 6.5370
1.2702 -4.4731 5.0707
6.3856 -2.2440 5.4776
2.9973 -0.8335 6.1301
3.7115 -2.7239 3.2890
1.9599 2.3704 5.0296
0.2354 -1.2738 3.9638
5.4359 0.9203 4.3548
```

Below is a relaxed structure of Pr4Nd2HoMg, with properties calculated at the GGA-PBE level.

Computed properties:
- total magnetization (μB per atom) = 0.000
- uncorrected energy (hartree per atom) = -0.1598
- formation enthalpy at 0 K (eV per atom) = 0.004
- symmetry = P4/mmm (123)

POSCAR file:
```
Pr4Nd2HoMg
1.0
-0.2799 4.9005 -1.4508
-2.1385 -1.4319 -4.4243
-11.4390 -0.7033 -0.1685
Pr Nd Ho Mg
4 2 1 1
Cartesian
-10.4851 3.3010 -4.8845
-3.3724 -0.5358 -1.1590
-4.5850 1.1989 -4.0947
-9.2724 1.5664 -1.9488
-2.1387 -1.4319 -4.4242
-5.8593 2.0986 -0.8097
-6.7886 -1.0676 -2.2965
-1.2093 1.7343 -2.9375
```

Below is a relaxed structure of Pr6Nd2Ho3Mg, with properties calculated at the GGA-PBE level.

Computed properties:
- total magnetization (μB per atom) = 0.000
- uncorrected energy (hartree per atom) = -0.1636
- formation enthalpy at 0 K (eV per atom) = 0.010
- symmetry = C2/m (12)

POSCAR file:
```
Pr6Nd2Ho3Mg
1.0
-5.1031 3.6682 -0.2682
-0.6177 -6.1895 0.9370
2.5224 2.5412 11.3976
Pr Nd Ho Mg
6 2 3 1
Cartesian
-3.1536 1.6352 8.8232
-3.6670 -1.2542 3.3894
-0.0447 -1.6152 3.2431
-1.6706 -1.6240 9.2217
0.4687 1.2741 8.6770
-1.5277 1.6440 2.8446
-2.1112 -2.9071 0.5357
-3.6095 0.3858 0.1331
-0.1013 -3.2818 6.4356
-3.0970 3.3018 5.6307
-1.5991 0.0100 6.0332
0.0000 0.0000 0.0000
```

Below is a relaxed structure of PrNdHoMg, with properties calculated at the GGA-PBE level.

Computed properties:
- total magnetization (μB per atom) = 0.000
- uncorrected energy (hartree per atom) = -0.1438
- formation enthalpy at 0 K (eV per atom) = 0.016
- symmetry = F-43m (216)

POSCAR file:
```
PrNdHoMg
1.0
5.6202 0.0000 0.0000
2.8101 4.8672 0.0000
2.8101 1.6224 4.5889
Pr Mg Nd Ho
1 1 1 1
Cartesian
2.8101 1.6224 1.1472
0.0000 0.0000 0.0000
8.4303 4.8672 3.4417
5.6202 3.2448 2.2944
```

Below is a relaxed structure of Pr2Nd2Ho2Mg, with properties calculated at the GGA-PBE level.

Computed properties:
- total magnetization (μB per atom) = 0.000
- uncorrected energy (hartree per atom) = -0.1535
- formation enthalpy at 0 K (eV per atom) = 0.087
- symmetry = C2/m (12)

POSCAR file:
```
Pr2Nd2Ho2Mg
1.0
3.5280 0.0000 0.0000
-1.7640 5.8376 -0.9620
0.0000 -2.5294 11.6486
Pr Nd Ho Mg
2 2 2 1
Cartesian
1.7640 -1.3270 8.8254
0.0000 4.6351 1.8611
1.7640 1.4924 6.9413
0.0000 1.8157 3.7452
1.7640 1.7423 0.6234
0.0000 1.5658 10.0632
0.0000 -1.2647 5.8243
```

Below is a relaxed structure of Pr2Nd4Ho2Mg, with properties calculated at the GGA-PBE level.

Computed properties:
- total magnetization (μB per atom) = 0.000
- uncorrected energy (hartree per atom) = -0.1562
- formation enthalpy at 0 K (eV per atom) = 0.124
- symmetry = P-1 (2)

POSCAR file:
```
Pr2Nd4Ho2Mg
1.0
6.8470 0.7773 0.4304
-0.4356 7.7657 1.4821
-2.9808 -3.2559 5.0650
Pr Nd Ho Mg
2 4 2 1
Cartesian
-0.6362 4.9440 3.6508
4.0668 0.3431 3.3268
3.9120 6.5530 1.4323
2.8411 4.0513 3.6175
-0.4814 -1.2659 5.5453
0.5895 1.2358 3.3601
5.4624 3.4694 1.4259
-2.0318 1.8177 5.5516
0.0000 0.0000 0.0000
```

Below is a relaxed structure of Pr2NdHoMg, with properties calculated at the GGA-PBE level.

Computed properties:
- total magnetization (μB per atom) = 0.000
- uncorrected energy (hartree per atom) = -0.1452
- formation enthalpy at 0 K (eV per atom) = 0.149
- symmetry = Pmma (51)

POSCAR file:
```
Pr2NdHoMg
1.0
-6.7497 1.5318 -3.0957
-3.3285 -1.9640 6.2854
0.3792 5.6181 1.9532
Pr Nd Ho Mg
4 2 2 2
Cartesian
-6.7376 3.8471 3.8720
-5.2701 4.7149 1.1017
-4.4289 0.4710 4.0412
-2.9614 1.3389 1.2710
-2.3987 3.4628 4.1404
-7.3003 1.7231 1.0026
-4.1984 2.3789 -1.4808
-2.1721 4.7710 0.3383
0.0000 0.0000 0.0000
0.1896 2.8090 0.9766
```

Below is a relaxed structure of Pr6Nd3Ho2Mg, with properties calculated at the GGA-PBE level.

Computed properties:
- total magnetization (μB per atom) = 0.000
- uncorrected energy (hartree per atom) = -0.1636
- formation enthalpy at 0 K (eV per atom) = 0.027
- symmetry = C2/m (12)

POSCAR file:
```
Pr6Nd3Ho2Mg
1.0
-2.1675 -1.5053 5.7655
-0.0477 -4.3178 -4.6433
11.5371 -1.5337 2.7641
Pr Nd Ho Mg
6 3 2 1
Cartesian
6.7046 -5.0845 4.6647
1.1736 -4.7343 1.5182
2.6173 -2.2722 -0.7783
7.4083 -6.0181 1.2095
8.1483 -2.6225 2.3681
1.9137 -1.3386 2.6768
5.3667 -4.6146 -1.5218
3.9553 -2.7421 5.4082
4.6610 -3.6784 1.9432
-0.7550 -3.3793 -1.1702
-1.4602 -2.4437 2.2925
0.0000 0.0000 0.0000
```

Below is a relaxed structure of NdHoMgPt, with properties calculated at the GGA-PBE level.

Computed properties:
- total magnetization (μB per atom) = 0.000
- uncorrected energy (hartree per atom) = -0.1759
- formation enthalpy at 0 K (eV per atom) = -0.542
- symmetry = F-43m (216)

POSCAR file:
```
NdHoMgPt
1.0
5.1614 0.0000 0.0000
2.5807 4.4699 0.0000
2.5807 1.4900 4.2142
Mg Nd Ho Pt
1 1 1 1
Cartesian
2.5807 1.4900 1.0536
0.0000 0.0000 0.0000
5.1614 2.9799 2.1071
7.7420 4.4699 3.1607
```

Below is a relaxed structure of NdHoPuMg, with properties calculated at the GGA-PBE level.

Computed properties:
- total magnetization (μB per atom) = 1.558
- uncorrected energy (hartree per atom) = -0.2265
- formation enthalpy at 0 K (eV per atom) = 0.155
- symmetry = F-43m (216)

POSCAR file:
```
NdHoPuMg
1.0
5.5064 0.0000 0.0000
2.7532 4.7687 0.0000
2.7532 1.5896 4.4960
Mg Nd Ho Pu
1 1 1 1
Cartesian
0.0000 0.0000 0.0000
8.2597 4.7687 3.3720
2.7532 1.5896 1.1240
5.5064 3.1791 2.2480
```

Below is a relaxed structure of NdHoMgRu, with properties calculated at the GGA-PBE level.

Computed properties:
- total magnetization (μB per atom) = 0.000
- uncorrected energy (hartree per atom) = -0.1905
- formation enthalpy at 0 K (eV per atom) = -0.129
- symmetry = F-43m (216)

POSCAR file:
```
NdHoMgRu
1.0
5.0924 0.0000 0.0000
2.5462 4.4101 0.0000
2.5462 1.4700 4.1579
Ru Mg Nd Ho
1 1 1 1
Cartesian
7.6385 4.4101 3.1184
2.5462 1.4700 1.0395
0.0000 0.0000 0.0000
5.0924 2.9401 2.0789
```

Below is a relaxed structure of NdHoMgRu, with properties calculated at the GGA-PBE level.

Computed properties:
- total magnetization (μB per atom) = 0.000
- uncorrected energy (hartree per atom) = -0.1937
- formation enthalpy at 0 K (eV per atom) = -0.218
- symmetry = P4mm (99)

POSCAR file:
```
NdHoMgRu
1.0
-1.5060 0.2346 3.0814
-1.3365 -3.1401 -0.4141
6.9497 -3.4405 3.6585
Nd Ho Mg Ru
1 1 1 1
Cartesian
3.9251 -4.0995 4.1481
1.1816 -2.7413 2.7039
0.5594 -0.2769 0.2945
3.8946 -1.9281 2.0502
```

Below is a relaxed structure of Nd3Ho3MgS8, with properties calculated at the GGA-PBE level.

Computed properties:
- total magnetization (μB per atom) = 0.000
- uncorrected energy (hartree per atom) = -0.2258
- ΔE_f (raw) (meV/atom) = -1969
- symmetry = R-3m (166)

POSCAR file:
```
Nd3Ho3MgS8
1.0
-6.8992 -3.7363 -0.2949
4.7418 -0.9934 6.1780
-3.7306 6.9680 -1.0043
Nd Ho Mg S
3 3 1 8
Cartesian
0.0000 0.0000 0.0000
2.3709 -0.4967 3.0890
-1.0787 -2.3649 2.9416
-5.3149 1.6159 -0.6496
-2.9440 1.1191 2.4394
0.5056 2.9873 2.5868
-1.8653 3.4840 -0.5022
-0.3339 0.3942 2.8134
-5.5541 1.8441 2.0654
-3.7875 -1.4712 2.7304
-2.1005 3.7095 2.1484
-6.2165 -0.9622 -0.4336
0.3284 3.2005 5.3124
-2.6828 0.9505 -0.2825
-3.2052 1.2878 5.1612
```

Below is a relaxed structure of Nd2Ho4MgSc, with properties calculated at the GGA-PBE level.

Computed properties:
- total magnetization (μB per atom) = 0.000
- uncorrected energy (hartree per atom) = -0.1629
- formation enthalpy at 0 K (eV per atom) = 0.040
- symmetry = Pmmm (47)

POSCAR file:
```
Nd2Ho4MgSc
1.0
-0.2591 0.5642 -4.8999
4.3302 -2.3471 -0.4992
-0.4462 -11.0052 -1.2436
Nd Ho Mg Sc
2 4 1 1
Cartesian
4.3302 -2.3471 -0.4992
-0.3526 -5.2205 -3.0718
2.9327 -9.9789 -1.3041
0.6922 -2.8091 -5.3386
2.9831 -4.2689 -3.1386
0.6418 -8.5192 -3.5042
1.5894 -11.8966 -3.9432
1.9420 -6.6761 -0.8714
```

Below is a relaxed structure of Nd3Ho3MgSe8, with properties calculated at the GGA-PBE level.

Computed properties:
- total magnetization (μB per atom) = 0.000
- uncorrected energy (hartree per atom) = -0.2058
- ΔE_f (raw) (meV/atom) = -1767
- symmetry = R-3m (166)

POSCAR file:
```
Nd3Ho3MgSe8
1.0
8.1877 0.0000 0.0000
-4.0939 7.0908 -0.0248
0.0000 -4.7032 6.8388
Nd Ho Mg Se
3 3 1 8
Cartesian
0.0000 0.0000 0.0000
-2.0469 3.5454 -0.0124
2.0469 3.5454 -0.0124
4.0939 -2.3516 3.4194
2.0469 1.1938 3.4070
-2.0469 1.1938 3.4070
0.0000 -2.3516 3.4194
0.0000 2.3699 1.7995
4.0939 0.0176 5.0145
4.0939 2.4063 1.8215
0.0000 -0.0187 4.9925
6.1718 -1.1933 1.8339
-2.0779 3.5808 4.9801
2.0160 -1.1933 1.8339
2.0779 3.5808 4.9801
```

Below is a relaxed structure of Nd2Sm4HoMg, with properties calculated at the GGA-PBE level.

Computed properties:
- total magnetization (μB per atom) = 0.000
- uncorrected energy (hartree per atom) = -0.1583
- formation enthalpy at 0 K (eV per atom) = 0.016
- symmetry = P4/mmm (123)

POSCAR file:
```
Nd2Sm4HoMg
1.0
5.0394 0.0000 0.0000
0.0000 4.9362 1.0415
0.0000 2.8258 11.0290
Nd Sm Ho Mg
2 4 1 1
Cartesian
0.0000 2.8259 11.0289
2.5197 6.3491 6.5561
0.0001 5.8200 9.0694
0.0000 1.9421 3.0010
2.5197 4.4092 3.5234
2.5197 3.3529 8.5470
5.0394 3.8810 6.0356
2.5197 5.2940 11.5495
```

Below is a relaxed structure of Nd2SmHo4Mg, with properties calculated at the GGA-PBE level.

Computed properties:
- total magnetization (μB per atom) = 0.000
- uncorrected energy (hartree per atom) = -0.1558
- formation enthalpy at 0 K (eV per atom) = 0.030
- symmetry = P4/mmm (123)

POSCAR file:
```
Nd2SmHo4Mg
1.0
4.9752 0.0000 0.0000
0.0000 4.8460 1.1649
0.0000 2.4645 11.0630
Nd Sm Ho Mg
2 1 4 1
Cartesian
4.9752 4.8459 1.1650
2.4876 1.2323 5.5314
0.0000 3.6553 6.1138
0.0000 5.4772 9.1940
4.9752 1.8333 3.0339
2.4876 4.2565 3.6156
2.4876 3.0540 8.6123
2.4876 2.4230 0.5824
```